{"formula": "TlSiOs2", "functional": "PBE", "state": "optimized geometry", "spacegroup": "Cm", "dft_energy_ev_per_atom": -7.033, "dos_at_fermi_per_ev_cell": 3.34, "volume_a3_per_cell": 75.4, "polymorph_energy_ev_per_atom": 0.1363, "lattice": [[-1.9757, 3.2139, -2.5146], [-2.1069, 0.6930, -3.9543], [-5.8176, -0.7292, 1.8068]], "species": ["Os", "Tl", "Si", "Os"], "fractional_positions": [[0.9642, 0.9642, 0.0601], [0.7182, 0.7182, 0.7673], [0.5487, 0.5487, 0.3343], [0.2689, 0.2689, 0.3384]]}

{"formula": "Tl2SiOs", "functional": "PBE", "state": "optimized geometry", "spacegroup": "R3m", "dft_energy_ev_per_atom": -4.980, "dos_at_fermi_per_ev_cell": 1.65, "volume_a3_per_cell": 86.9, "polymorph_energy_ev_per_atom": 0.1503, "lattice": [[9.5515, -0.1214, -0.0713], [9.0319, 3.1099, -0.0713], [9.0319, 1.4525, 2.7508]], "species": ["Os", "Tl", "Si", "Tl"], "fractional_positions": [[0.5141, 0.5141, 0.5141], [0.7649, 0.7649, 0.7649], [0.2316, 0.2316, 0.2316], [0.9894, 0.9894, 0.9894]]}

{"formula": "TlSi2Os", "functional": "PBE", "state": "optimized geometry", "spacegroup": "Immm", "dft_energy_ev_per_atom": -5.458, "dos_at_fermi_per_ev_cell": 2.49, "volume_a3_per_cell": 83.4, "polymorph_energy_ev_per_atom": 0.5213, "lattice": [[5.8174, -0.1192, 0.0351], [1.9723, 5.4742, -0.0351], [-2.6743, -4.4530, 2.6223]], "species": ["Si", "Tl", "Si", "Os"], "fractional_positions": [[0.0472, 0.0472, 0.0000], [0.7500, 0.2500, 0.5000], [0.4528, 0.4528, 0.0000], [0.2500, 0.7500, 0.5000]]}

{"formula": "TlSi2Os", "functional": "PBE", "state": "optimized geometry", "spacegroup": "Pm", "dft_energy_ev_per_atom": -5.714, "dos_at_fermi_per_ev_cell": 1.84, "volume_a3_per_cell": 73.6, "polymorph_energy_ev_per_atom": 0.2652, "lattice": [[3.9381, 0.0000, 0.0000], [0.0000, 3.2687, 0.0525], [0.0000, 1.6155, 5.7466]], "species": ["Si", "Si", "Os", "Tl"], "fractional_positions": [[0.5000, 0.2478, 0.1187], [0.0000, 0.7852, 0.0454], [0.5000, 0.9118, 0.8054], [0.0000, 0.5552, 0.5305]]}

{"formula": "TlSiOs2", "functional": "PBE", "state": "optimized geometry", "spacegroup": "Pm", "dft_energy_ev_per_atom": -6.945, "dos_at_fermi_per_ev_cell": 2.83, "volume_a3_per_cell": 67.5, "polymorph_energy_ev_per_atom": 0.2237, "lattice": [[4.4907, 0.0000, 0.0000], [0.0000, 2.9710, -0.0530], [0.0000, 0.9640, 5.0436]], "species": ["Os", "Tl", "Si", "Os"], "fractional_positions": [[0.5000, 0.4011, 0.2362], [0.5000, 0.8310, 0.7292], [0.0000, 0.3241, 0.4550], [0.0000, 0.9438, 0.0797]]}

{"formula": "TlSiOs2", "functional": "PBE", "state": "optimized geometry", "spacegroup": "I-4m2", "dft_energy_ev_per_atom": -6.612, "dos_at_fermi_per_ev_cell": 4.76, "volume_a3_per_cell": 63.9, "polymorph_energy_ev_per_atom": 0.5564, "lattice": [[-4.1417, -1.9200, -2.0849], [0.7183, -1.6306, -4.6917], [2.3808, -0.7218, 4.3586]], "species": ["Tl", "Si", "Os", "Os"], "fractional_positions": [[0.7500, 0.2500, 0.5000], [0.5000, 0.5000, 0.0000], [0.2500, 0.7500, 0.5000], [0.0000, 0.0000, 0.0000]]}

{"formula": "Tl2SiOs", "functional": "PBE", "state": "optimized geometry", "spacegroup": "Fm-3m", "dft_energy_ev_per_atom": -4.215, "dos_at_fermi_per_ev_cell": 3.33, "volume_a3_per_cell": 81.0, "polymorph_energy_ev_per_atom": 0.9153, "lattice": [[0.0000, 3.4346, 3.4346], [3.4346, 0.0000, 3.4346], [3.4346, 3.4346, 0.0000]], "species": ["Os", "Tl", "Si", "Tl"], "fractional_positions": [[0.5000, 0.5000, 0.5000], [0.7500, 0.7500, 0.7500], [0.0000, 0.0000, 0.0000], [0.2500, 0.2500, 0.2500]]}

{"formula": "TlSiOs2", "functional": "PBE", "state": "optimized geometry", "spacegroup": "C2/m", "dft_energy_ev_per_atom": -6.652, "dos_at_fermi_per_ev_cell": 3.87, "volume_a3_per_cell": 66.3, "polymorph_energy_ev_per_atom": 0.5171, "lattice": [[-3.7864, -0.5558, 3.5883], [-0.2462, -3.8095, -3.5984], [0.5579, -2.5566, 1.4323]], "species": ["Os", "Os", "Si", "Tl"], "fractional_positions": [[0.5000, 0.5000, 0.0000], [0.0000, 0.0000, 0.0000], [0.5000, 0.0000, 0.5000], [0.0000, 0.5000, 0.5000]]}